! PBE Li3Cu, optimized geometry; values from VASP
! - density of states at the Fermi level (states/eV/atom) = 0.40
! - crystal system = tetragonal
! - space group = I4/mmm, No. 139
! - total energy (eV per atom) = -2.447
&SYSTEM
  ibrav = 0, nat = 4, ntyp = 2
/
ATOMIC_SPECIES
Cu 63.55 Cu.upf
Li 6.94 Li.upf
CELL_PARAMETERS angstrom
4.7822 -0.0009 0.0000
1.5316 4.5303 0.0000
-3.1569 -2.2647 2.7883
ATOMIC_POSITIONS crystal
Cu 0.0000 0.0000 0.0000
Li 0.2500 0.7500 0.5000
Li 0.5000 0.5000 0.0000
Li 0.7500 0.2500 0.5000